VASP calculation (GGA-PBE) on a relaxed structure of Tm2RhO.

Cell lengths 3.1062, 3.1062, 6.8600 Å; angles 90.00, 90.00, 90.00 degrees
Closest atoms and distances in Å follow each position.
Space group P4/mmm (No. 123)
Asymmetric unit:
Tm 0.0000 0.0000 0.2324 (multiplicity 2)  4 O 2.71, 4 Rh 2.86
Rh 0.5000 0.5000 0.5000 (multiplicity 1)  8 Tm 2.86, 4 Rh 3.11
O 0.5000 0.5000 0.0000 (multiplicity 1)  8 Tm 2.71

Calculated values
E_tot, eV/f.u.: -26.9
Crystal system: tetragonal

=====

VASP calculation (GGA-PBE) on a relaxed structure of TmRhO.

Cell lengths 5.8138, 3.5561, 9.1565 Å; angles 90.00, 90.00, 90.00 degrees
Closest atoms and distances in Å follow each position.
Space group Pnma (No. 62)
Asymmetric unit:
Tm 0.1243 0.2500 0.1355 (multiplicity 4)  3 O 2.21-2.31
Rh 0.1283 0.2500 0.4447 (multiplicity 4)  2 O 2.44, 2 Rh 2.53
O 0.1008 0.2500 0.8835 (multiplicity 4)  3 Tm 2.21-2.31, 2 Rh 2.44

Calculated values
E_tot, eV/f.u.: -21.6
Crystal system: orthorhombic

=====

VASP calculation (GGA-PBE) on a relaxed structure of Tm4Rh2O.

Cell lengths 4.4688, 4.4688, 14.5124 Å; angles 90.00, 90.00, 90.00 degrees
Closest atoms and distances in Å follow each position.
Space group I4/mmm (No. 139)
Asymmetric unit:
Tm 0.0000 0.0000 0.1832 (multiplicity 4)  1 O 2.66, 1 Rh 2.70
Tm 0.0000 0.5000 0.0000 (multiplicity 4)  2 O 2.23
Rh 0.0000 0.0000 0.3690 (multiplicity 4)  5 Tm 2.70-2.93
O 0.0000 0.0000 0.0000 (multiplicity 2)  4 Tm 2.23

Calculated values
E_tot, eV/f.u.: -46.8
Crystal system: tetragonal

=====

VASP calculation (GGA-PBE) on a relaxed structure of Tm2RhO5.

Cell lengths 7.3273, 3.7078, 15.1307 Å; angles 90.00, 90.00, 90.00 degrees
Closest atoms and distances in Å follow each position.
Space group Pnma (No. 62)
Asymmetric unit:
Tm 0.0760 0.2500 0.0936 (multiplicity 4)  7 O 2.23-2.42
Tm 0.1454 0.2500 0.7323 (multiplicity 4)  4 O 2.14-2.24
Rh 0.1132 0.2500 0.4328 (multiplicity 4)  6 O 1.92-2.14
O 0.0673 0.7500 0.4564 (multiplicity 4)  3 Rh 1.92-2.14
O 0.0833 0.7500 0.1803 (multiplicity 4)  4 Tm 2.14-2.27
O 0.1167 0.7500 0.6498 (multiplicity 4)  1 Rh 2.10, 2 Tm 2.24
O 0.1499 0.7500 0.0054 (multiplicity 4)  1 Rh 2.05, 1 Tm 2.23
O 0.2131 0.7500 0.8296 (multiplicity 4)  1 Rh 2.01

Calculated values
E_tot, eV/f.u.: -61.1
Crystal system: orthorhombic

=====

VASP calculation (GGA-PBE) on a relaxed structure of Tm6Rh2O.

Cell lengths 6.2640, 6.9567, 11.0526 Å; angles 90.00, 123.16, 90.00 degrees
Closest atoms and distances in Å follow each position.
Space group P2_1/c (No. 14)
Asymmetric unit:
Tm 0.1246 0.0349 0.2448 (multiplicity 4)  1 O 2.38
Tm 0.2363 0.6830 0.0606 (multiplicity 4)  1 O 2.53, 1 Rh 2.78
Tm 0.3739 0.1758 0.0584 (multiplicity 4)  1 O 2.40
Rh 0.2961 0.1022 0.7534 (multiplicity 4)  6 Tm 2.72-2.91
O 0.0000 0.0000 0.0000 (multiplicity 2)  6 Tm 2.38-2.53

Calculated values
E_tot, eV/f.u.: -56.8
Crystal system: monoclinic

=====

VASP calculation (GGA-PBE) on a relaxed structure of TmRh3O6.

Cell lengths 7.1670, 10.0896, 3.2850 Å; angles 90.00, 90.00, 90.00 degrees
Closest atoms and distances in Å follow each position.
Space group Cmmm (No. 65)
Asymmetric unit:
Tm 0.0000 0.0000 0.0000 (multiplicity 2)  8 O 2.24-2.49
Rh 0.0000 0.5000 0.0000 (multiplicity 2)  4 O 1.97
Rh 0.2500 0.2500 0.5000 (multiplicity 4)  6 O 2.05-2.06
O 0.0000 0.1508 0.5000 (multiplicity 4)  2 Rh 2.05, 2 Tm 2.24
O 0.2054 0.3698 0.0000 (multiplicity 8)  3 Rh 1.97-2.06

Calculated values
E_tot, eV/f.u.: -70.4
Crystal system: orthorhombic

=====

VASP calculation (GGA-PBE) on a relaxed structure of YURhO6.

Cell lengths 5.3399, 5.3399, 9.6140 Å; angles 90.00, 90.00, 120.00 degrees
Closest atoms and distances in Å follow each position.
Space group P-31c (No. 163)
Asymmetric unit:
Y 0.3333 0.6667 0.2500 (multiplicity 2)  6 O 2.28
U 0.0000 0.0000 0.0000 (multiplicity 2)  6 O 2.11
Rh 0.3333 0.6667 0.7500 (multiplicity 2)  6 O 2.06
O 0.0323 0.3388 0.6258 (multiplicity 12)  1 Rh 2.06, 1 U 2.11, 1 Y 2.28

Calculated values
E_tot, eV/f.u.: -77.6
Crystal system: trigonal

=====

VASP calculation (GGA-PBE) on a relaxed structure of UZnRhO6.

Cell lengths 5.2756, 5.2756, 8.9502 Å; angles 90.00, 90.00, 120.00 degrees
Closest atoms and distances in Å follow each position.
Space group P-31c (No. 163)
Asymmetric unit:
U 0.3333 0.6667 0.2500 (multiplicity 2)  6 O 2.09
Zn 0.3333 0.6667 0.7500 (multiplicity 2)  6 O 2.14
Rh 0.0000 0.0000 0.0000 (multiplicity 2)  6 O 2.03
O 0.0063 0.3232 0.1251 (multiplicity 12)  1 Rh 2.03, 1 U 2.09, 1 Zn 2.14

Calculated values
E_tot, eV/f.u.: -65.5
Crystal system: trigonal